(1)
The following is a DFT calculation (GGA-PBE) of a relaxed BeCdRu crystal.

Structure (CIF):
```
data_BeCdRu
_cell_length_a 5.6315
_cell_length_b 5.6315
_cell_length_c 5.6315
_cell_angle_alpha 90.00
_cell_angle_beta 90.00
_cell_angle_gamma 90.00
_space_group_name_H-M_alt 'F -4 3 m'
_space_group_IT_number 216
_space_group_name_Hall 'F -4 2 3'
loop_
_atom_site_label
_atom_site_type_symbol
_atom_site_fract_x
_atom_site_fract_y
_atom_site_fract_z
_atom_site_occupancy
Be1 Be 0.0000 0.0000 0.0000 1
Cd1 Cd 0.2500 0.2500 0.2500 1
Ru1 Ru 0.2500 0.2500 0.7500 1
```

## Properties
density = 8.27 Mg/m³

(2)
The following is a DFT calculation (GGA-PBE) of a relaxed BeCdRu crystal.

Structure (CIF):
```
data_BeCdRu
_cell_length_a 3.0111
_cell_length_b 3.0111
_cell_length_c 9.6210
_cell_angle_alpha 90.00
_cell_angle_beta 90.00
_cell_angle_gamma 90.00
_space_group_name_H-M_alt 'I 4 m m'
_space_group_IT_number 107
_space_group_name_Hall 'I 4 -2'
loop_
_atom_site_label
_atom_site_type_symbol
_atom_site_fract_x
_atom_site_fract_y
_atom_site_fract_z
_atom_site_occupancy
Be1 Be 0.0000 0.0000 0.0000 1
Cd1 Cd 0.0000 0.0000 0.2915 1
Ru1 Ru 0.0000 0.0000 0.5866 1
```

## Properties
density = 8.47 Mg/m³

(3)
The following is a DFT calculation (GGA-PBE) of a relaxed BeCdRu2 crystal.

Structure (CIF):
```
data_BeCdRu2
_cell_length_a 2.9782
_cell_length_b 4.4186
_cell_length_c 8.5135
_cell_angle_alpha 90.00
_cell_angle_beta 90.00
_cell_angle_gamma 90.00
_space_group_name_H-M_alt 'I m m 2'
_space_group_IT_number 44
loop_
_space_group_symop_operation_xyz
'x,y,z'
'-x,-y,z'
'-x,y,z'
'x,-y,z'
'x+1/2,y+1/2,z+1/2'
'-x+1/2,-y+1/2,z+1/2'
'-x+1/2,y+1/2,z+1/2'
'x+1/2,-y+1/2,z+1/2'
loop_
_atom_site_label
_atom_site_type_symbol
_atom_site_fract_x
_atom_site_fract_y
_atom_site_fract_z
_atom_site_occupancy
Be1 Be 0.0000 0.0000 0.0000 1
Cd1 Cd 0.0000 0.5000 0.2572 1
Ru1 Ru 0.0000 0.0000 0.4748 1
Ru2 Ru 0.0000 0.5000 0.7144 1
```

## Properties
density = 9.59 Mg/m³

Energy above the lowest structure with this stoichiometry across the listed records, respectively: 0.64; 0.00; 1.06 eV per formula unit.
Calculated formation energy across the listed records, respectively: 0.30; 0.09; 0.31 eV per atom.